1.
Material: BaCo2Te2
Method: DFT, PBE-GGA
State: relaxed

## Properties
The calculation puts the size of the total moment at 4.63 μB per cell. As for the offset from the most stable computed form: 0 meV per atom. The space group is I4/mmm, No. 139. For the total energy, the calculation gives -49.68 eV for the cell shown. The value obtained for the uncorrected formation energy is -234 kJ/mol of formula units.

Cell lengths 4.2738, 4.2738, 13.0755 Å; angles 90.00, 90.00, 90.00 degrees
With the nearest neighbours (Å) after each atom.
Fractional positions:
Ba 0.0000 0.0000 0.0000  8 Te 3.58, 8 Co 3.91
Ba 0.5000 0.5000 0.5000  8 Te 3.58, 8 Co 3.91
Co 0.0000 0.5000 0.2500  4 Te 2.53
Co 0.0000 0.5000 0.7500  4 Te 2.53
Co 0.5000 0.0000 0.2500  4 Te 2.53
Co 0.5000 0.0000 0.7500  4 Te 2.53
Te 0.0000 0.0000 0.3534  4 Co 2.53
Te 0.0000 0.0000 0.6466  4 Co 2.53
Te 0.5000 0.5000 0.1466  4 Co 2.53
Te 0.5000 0.5000 0.8534  4 Co 2.53

2.
Material: Li3Th
Method: DFT, PBE-GGA
State: relaxed

## Properties
The calculation puts the size of the total moment at 0.00 μB per cell. The space group is Fm-3m, No. 225. For the total energy, the calculation gives -45.92 eV for the cell shown. For the energy of formation, the calculation gives 9.70 kcal/mol of atoms.

Cell lengths 7.1523, 7.1523, 7.1523 Å; angles 90.00, 90.00, 90.00 degrees
With the nearest neighbours (Å) after each atom.
Fractional positions:
Li 0.0000 0.0000 0.0000  8 Li 3.10
Li 0.0000 0.5000 0.5000  8 Li 3.10
Li 0.2500 0.2500 0.2500  4 Th 3.10, 4 Li 3.10
Li 0.2500 0.2500 0.7500  4 Th 3.10, 4 Li 3.10
Li 0.2500 0.7500 0.2500  4 Th 3.10, 4 Li 3.10
Li 0.2500 0.7500 0.7500  4 Th 3.10, 4 Li 3.10
Li 0.5000 0.0000 0.5000  8 Li 3.10
Li 0.5000 0.5000 0.0000  8 Li 3.10
Li 0.7500 0.2500 0.2500  4 Th 3.10, 4 Li 3.10
Li 0.7500 0.2500 0.7500  4 Th 3.10, 4 Li 3.10
Li 0.7500 0.7500 0.2500  4 Th 3.10, 4 Li 3.10
Li 0.7500 0.7500 0.7500  4 Th 3.10, 4 Li 3.10
Th 0.0000 0.0000 0.5000  8 Li 3.10
Th 0.0000 0.5000 0.0000  8 Li 3.10
Th 0.5000 0.0000 0.0000  8 Li 3.10
Th 0.5000 0.5000 0.5000  8 Li 3.10

3.
Material: Ba2SrP2
Method: DFT, PBE-GGA
State: relaxed

## Properties
The calculation puts the size of the total moment at 0.00 μB per cell. As for the offset from the most stable computed form: 0 meV per atom. The space group is P2_1/c, No. 14. For the total energy, the calculation gives -85.21 eV for the cell shown. For the energy of formation, the calculation gives -22.86 kcal/mol of atoms.

Cell lengths 11.4357, 8.0684, 8.5286 Å; angles 90.00, 93.52, 90.00 degrees
With the nearest neighbours (Å) after each atom.
Fractional positions:
Ba 0.1044 0.1535 0.3567  4 P 3.19-3.31
Ba 0.1044 0.3465 0.8567  4 P 3.19-3.31
Ba 0.2765 0.7018 0.5030  4 P 3.19-3.35
Ba 0.2765 0.7982 0.0030  4 P 3.19-3.35
Ba 0.7235 0.2018 0.9970  4 P 3.19-3.35
Ba 0.7235 0.2982 0.4970  4 P 3.19-3.35
Ba 0.8956 0.6535 0.1433  4 P 3.19-3.31
Ba 0.8956 0.8465 0.6433  4 P 3.19-3.31
Sr 0.3962 0.1422 0.6450  4 P 3.01-3.13
Sr 0.3962 0.3578 0.1450  4 P 3.01-3.13
Sr 0.6038 0.6422 0.8550  4 P 3.01-3.13
Sr 0.6038 0.8578 0.3550  4 P 3.01-3.13
P 0.1545 0.5106 0.2095  1 Sr 3.11, 5 Ba 3.19-3.31
P 0.1545 0.9894 0.7095  1 Sr 3.11, 5 Ba 3.19-3.31
P 0.3686 0.0235 0.2956  3 Sr 3.01-3.13, 3 Ba 3.21-3.35
P 0.3686 0.4765 0.7956  3 Sr 3.01-3.13, 3 Ba 3.21-3.35
P 0.6314 0.5235 0.2044  3 Sr 3.01-3.13, 3 Ba 3.21-3.35
P 0.6314 0.9765 0.7044  3 Sr 3.01-3.13, 3 Ba 3.21-3.35
P 0.8455 0.0106 0.2905  1 Sr 3.11, 5 Ba 3.19-3.31
P 0.8455 0.4894 0.7905  1 Sr 3.11, 5 Ba 3.19-3.31

4.
Material: Na8Se2O
Method: DFT, PBE-GGA
State: relaxed

## Properties
The calculation puts the size of the total moment at 0.00 μB per cell. The space group is C2/m, No. 12. For the total energy, the calculation gives -31.26 eV for the cell shown. The value obtained for the uncorrected formation energy is -847 kJ/mol of formula units.

Cell lengths 7.7925, 7.7925, 8.1859 Å; angles 99.35, 99.35, 34.91 degrees
With the nearest neighbours (Å) after each atom.
Fractional positions:
Na 0.0459 0.0459 0.2264  1 O 2.45
Na 0.1724 0.1724 0.5622  1 O 2.53
Na 0.3245 0.3245 0.9438  3 Se 2.93-2.95
Na 0.4415 0.4415 0.3493  2 O 2.72, 1 Na 2.77, 1 Se 2.86
Na 0.5585 0.5585 0.6507  2 O 2.72, 1 Na 2.77, 1 Se 2.86
Na 0.6755 0.6755 0.0562  3 Se 2.93-2.95
Na 0.8276 0.8276 0.4378  1 O 2.53
Na 0.9541 0.9541 0.7736  1 O 2.45
Se 0.2474 0.2474 0.2528  8 Na 2.86-2.97
Se 0.7526 0.7526 0.7472  8 Na 2.86-2.97
O 0.0000 0.0000 0.5000  8 Na 2.45-2.72